This record from OQMD describes Hf4Zr2In3N3 after structural relaxation. The functional is PBE-GGA.

DFT total energy ... -8.56 eV per atom
Space-group type ... C2/c

a = 5.6468 Å, b = 5.6468 Å, c = 15.2210 Å
α = 100.69°, β = 100.69°, γ = 60.01°
Fractional positions:
Hf  0.1972  0.0250  0.0831
Hf  0.8028  0.9750  0.9169
Hf  0.3055  0.1416  0.4169
Hf  0.8584  0.6945  0.0831
Hf  0.0250  0.1972  0.5831
Hf  0.9750  0.8028  0.4169
Hf  0.1416  0.3055  0.9169
Hf  0.6945  0.8584  0.5831
N  0.8436  0.3284  0.0000
N  0.6716  0.1564  0.5000
N  0.3284  0.8436  0.5000
N  0.1564  0.6716  0.0000
N  0.0000  0.5000  0.5000
N  0.5000  0.0000  0.0000
In  0.9230  0.0770  0.2500
In  0.2435  0.4163  0.2491
In  0.0770  0.9230  0.7500
In  0.7565  0.5837  0.7509
In  0.4163  0.2435  0.7491
In  0.5837  0.7565  0.2509
Zr  0.4709  0.6354  0.9138
Zr  0.3646  0.5291  0.5862
Zr  0.5291  0.3646  0.0862
Zr  0.6354  0.4709  0.4138